# PBEsol YPtS3, optimized geometry
data_YPtS3
_symmetry_space_group_name_H-M 'P m -3 m'
_symmetry_Int_Tables_number 221
_symmetry_space_group_name_Hall '-P 4 2 3'
_cell_length_a 4.643
_cell_length_b 4.643
_cell_length_c 4.643
_cell_angle_alpha 90.00
_cell_angle_beta 90.00
_cell_angle_gamma 90.00
loop_
_atom_site_label
_atom_site_fract_x
_atom_site_fract_y
_atom_site_fract_z
Y1 0.000 0.000 0.000
Pt1 0.500 0.500 0.500
S1 0.000 0.500 0.500
# Energy relative to the elements, uncorrected ... -632 meV per atom
# Fermi-level density of states ... 0.753 states/eV/atom
# Crystal system ... cubic